[1]
Computed, not measured: a PBEsol-optimized structure of NaCa2Ga2 at the meta-GGA SCAN level of DFT.

Computed properties:
- ρ: 3.08 g cm⁻³
- Total energy: -11.59 eV per atom
- Formation enthalpy at 0 K: -0.338 eV per atom

Structure (CIF):
```
data_NaCa2Ga2
_chemical_formula_sum 'Na2 Ca4 Ga4'
_space_group_name_H-M_alt 'P 1'
_space_group_IT_number 1
_cell_length_a 3.694
_cell_length_b 8.419
_cell_length_c 8.419
_cell_angle_alpha 90.00
_cell_angle_beta 90.00
_cell_angle_gamma 90.00
loop_
_space_group_symop_operation_xyz
'x,y,z'
loop_
_atom_site_label
_atom_site_type_symbol
_atom_site_fract_x
_atom_site_fract_y
_atom_site_fract_z
Na1 Na 0.000 0.000 0.000
Na2 Na 0.000 0.500 0.500
Ca1 Ca 0.500 0.181 0.681
Ca2 Ca 0.500 0.681 0.819
Ca3 Ca 0.500 0.819 0.319
Ca4 Ca 0.500 0.319 0.181
Ga1 Ga 0.000 0.389 0.889
Ga2 Ga 0.000 0.889 0.611
Ga3 Ga 0.000 0.611 0.111
Ga4 Ga 0.000 0.111 0.389
```



[2]
Computed, not measured: a PBEsol-optimized structure of ZrAlAg at the meta-GGA SCAN level of DFT.

Computed properties:
- ρ: 6.92 g cm⁻³
- Total energy: -23.66 eV per atom
- Formation enthalpy at 0 K: -0.385 eV per atom

Structure (CIF):
```
data_ZrAlAg
_chemical_formula_sum 'Zr1 Al1 Ag1'
_space_group_name_H-M_alt 'P 1'
_space_group_IT_number 1
_cell_length_a 3.114
_cell_length_b 4.486
_cell_length_c 4.486
_cell_angle_alpha 120.00
_cell_angle_beta 90.00
_cell_angle_gamma 90.00
loop_
_space_group_symop_operation_xyz
'x,y,z'
loop_
_atom_site_label
_atom_site_type_symbol
_atom_site_fract_x
_atom_site_fract_y
_atom_site_fract_z
Ag1 Ag 0.000 0.000 0.000
Zr1 Zr 0.500 0.667 0.333
Al1 Al 0.000 0.333 0.667
```



[3]
Computed, not measured: a PBEsol-optimized structure of Pr3CuSiSe7 at the meta-GGA SCAN level of DFT.

Computed properties:
- ρ: 6.15 g cm⁻³
- Total energy: -26.21 eV per atom
- ΔE_f (raw): -1.562 eV/atom

Structure (CIF):
```
data_Pr3CuSiSe7
_chemical_formula_sum 'Pr6 Cu2 Si2 Se14'
_space_group_name_H-M_alt 'P 1'
_space_group_IT_number 1
_cell_length_a 5.998
_cell_length_b 10.536
_cell_length_c 10.536
_cell_angle_alpha 120.00
_cell_angle_beta 90.00
_cell_angle_gamma 90.00
loop_
_space_group_symop_operation_xyz
'x,y,z'
loop_
_atom_site_label
_atom_site_type_symbol
_atom_site_fract_x
_atom_site_fract_y
_atom_site_fract_z
Pr1 Pr 0.246 0.356 0.128
Pr2 Pr 0.746 0.128 0.772
Pr3 Pr 0.246 0.872 0.228
Pr4 Pr 0.746 0.228 0.356
Pr5 Pr 0.746 0.644 0.872
Pr6 Pr 0.246 0.772 0.644
Cu1 Cu 0.270 0.000 0.000
Cu2 Cu 0.770 0.000 0.000
Si1 Si 0.661 0.667 0.333
Si2 Si 0.161 0.333 0.667
Se1 Se 0.759 0.836 0.745
Se2 Se 0.013 0.479 0.583
Se3 Se 0.759 0.909 0.164
Se4 Se 0.013 0.104 0.521
Se5 Se 0.259 0.091 0.836
Se6 Se 0.013 0.417 0.896
Se7 Se 0.259 0.164 0.255
Se8 Se 0.513 0.521 0.417
Se9 Se 0.537 0.333 0.667
Se10 Se 0.759 0.255 0.091
Se11 Se 0.037 0.667 0.333
Se12 Se 0.259 0.745 0.909
Se13 Se 0.513 0.896 0.479
Se14 Se 0.513 0.583 0.104
```



[4]
Computed, not measured: a PBEsol-optimized structure of NiAsPbBr2 at the meta-GGA SCAN level of DFT.

Computed properties:
- ρ: 7.44 g cm⁻³
- Total energy: -30.19 eV per atom
- ΔE_f (raw): 0.021 eV/atom

Structure (CIF):
```
data_NiAsPbBr2
_chemical_formula_sum 'Ni1 As1 Pb1 Br2'
_space_group_name_H-M_alt 'P 1'
_space_group_IT_number 1
_cell_length_a 4.724
_cell_length_b 4.864
_cell_length_c 4.864
_cell_angle_alpha 90.00
_cell_angle_beta 90.00
_cell_angle_gamma 90.00
loop_
_space_group_symop_operation_xyz
'x,y,z'
loop_
_atom_site_label
_atom_site_type_symbol
_atom_site_fract_x
_atom_site_fract_y
_atom_site_fract_z
Pb1 Pb 0.500 0.500 0.500
Ni1 Ni 0.000 0.000 0.000
As1 As 0.500 0.000 0.000
Br1 Br 0.000 0.000 0.500
Br2 Br 0.000 0.500 0.000
```



[5]
Computed, not measured: a PBEsol-optimized structure of K2TlAu2 at the meta-GGA SCAN level of DFT.

Computed properties:
- ρ: 7.91 g cm⁻³
- Total energy: -45.79 eV per atom
- Formation enthalpy at 0 K: -0.324 eV per atom

Structure (CIF):
```
data_K2TlAu2
_chemical_formula_sum 'K4 Tl2 Au4'
_space_group_name_H-M_alt 'P 1'
_space_group_IT_number 1
_cell_length_a 4.942
_cell_length_b 7.581
_cell_length_c 7.581
_cell_angle_alpha 90.00
_cell_angle_beta 90.00
_cell_angle_gamma 90.00
loop_
_space_group_symop_operation_xyz
'x,y,z'
loop_
_atom_site_label
_atom_site_type_symbol
_atom_site_fract_x
_atom_site_fract_y
_atom_site_fract_z
Tl1 Tl 0.000 0.000 0.000
Tl2 Tl 0.000 0.500 0.500
Au1 Au 0.000 0.370 0.870
Au2 Au 0.000 0.870 0.630
Au3 Au 0.000 0.630 0.130
Au4 Au 0.000 0.130 0.370
K1 K 0.500 0.169 0.669
K2 K 0.500 0.669 0.831
K3 K 0.500 0.831 0.331
K4 K 0.500 0.331 0.169
```



[6]
Computed, not measured: a PBEsol-optimized structure of SrRe2Te at the meta-GGA SCAN level of DFT.

Computed properties:
- ρ: 12.12 g cm⁻³
- Total energy: -49.26 eV per atom
- ΔE_f (raw): 1.166 eV/atom

Structure (CIF):
```
data_SrRe2Te
_chemical_formula_sum 'Sr1 Re2 Te1'
_space_group_name_H-M_alt 'P 1'
_space_group_IT_number 1
_cell_length_a 3.985
_cell_length_b 3.985
_cell_length_c 5.800
_cell_angle_alpha 110.09
_cell_angle_beta 110.09
_cell_angle_gamma 90.00
loop_
_space_group_symop_operation_xyz
'x,y,z'
loop_
_atom_site_label
_atom_site_type_symbol
_atom_site_fract_x
_atom_site_fract_y
_atom_site_fract_z
Re1 Re 0.750 0.250 0.500
Re2 Re 0.250 0.750 0.500
Sr1 Sr 0.500 0.500 0.000
Te1 Te 0.000 0.000 0.000
```



[7]
Computed, not measured: a PBEsol-optimized structure of ScCr3Os at the meta-GGA SCAN level of DFT.

Computed properties:
- ρ: 6.87 g cm⁻³
- Total energy: -27.44 eV per atom
- Formation enthalpy at 0 K: 0.809 eV per atom

Structure (CIF):
```
data_ScCr3Os
_chemical_formula_sum 'Sc1 Cr3 Os1'
_space_group_name_H-M_alt 'P 1'
_space_group_IT_number 1
_cell_length_a 4.556
_cell_length_b 4.556
_cell_length_c 4.556
_cell_angle_alpha 90.00
_cell_angle_beta 90.00
_cell_angle_gamma 90.00
loop_
_space_group_symop_operation_xyz
'x,y,z'
loop_
_atom_site_label
_atom_site_type_symbol
_atom_site_fract_x
_atom_site_fract_y
_atom_site_fract_z
Sc1 Sc 0.500 0.500 0.500
Cr1 Cr 0.000 0.500 0.000
Cr2 Cr 0.000 0.000 0.500
Cr3 Cr 0.500 0.000 0.000
Os1 Os 0.000 0.000 0.000
```



[8]
Computed, not measured: a PBEsol-optimized structure of CeBi2SeO4 at the meta-GGA SCAN level of DFT.

Computed properties:
- ρ: 8.89 g cm⁻³
- Total energy: -32.80 eV per atom
- ΔE_f (raw): -1.958 eV/atom

Structure (CIF):
```
data_CeBi2SeO4
_chemical_formula_sum 'Ce1 Bi2 Se1 O4'
_space_group_name_H-M_alt 'P 1'
_space_group_IT_number 1
_cell_length_a 3.852
_cell_length_b 3.852
_cell_length_c 8.824
_cell_angle_alpha 90.00
_cell_angle_beta 90.00
_cell_angle_gamma 90.00
loop_
_space_group_symop_operation_xyz
'x,y,z'
loop_
_atom_site_label
_atom_site_type_symbol
_atom_site_fract_x
_atom_site_fract_y
_atom_site_fract_z
O1 O 0.000 0.500 0.153
O2 O 0.000 0.500 0.847
O3 O 0.500 0.000 0.153
O4 O 0.500 0.000 0.847
Se1 Se 0.000 0.000 0.500
Bi1 Bi 0.500 0.500 0.296
Bi2 Bi 0.500 0.500 0.704
Ce1 Ce 0.000 0.000 0.000
```



[9]
Computed, not measured: a PBEsol-optimized structure of KAl2Pt at the meta-GGA SCAN level of DFT.

Computed properties:
- ρ: 5.11 g cm⁻³
- Total energy: -23.94 eV per atom
- Formation enthalpy at 0 K: -0.432 eV per atom

Structure (CIF):
```
data_KAl2Pt
_chemical_formula_sum 'K1 Al2 Pt1'
_space_group_name_H-M_alt 'P 1'
_space_group_IT_number 1
_cell_length_a 2.838
_cell_length_b 4.205
_cell_length_c 8.249
_cell_angle_alpha 104.77
_cell_angle_beta 99.91
_cell_angle_gamma 90.00
loop_
_space_group_symop_operation_xyz
'x,y,z'
loop_
_atom_site_label
_atom_site_type_symbol
_atom_site_fract_x
_atom_site_fract_y
_atom_site_fract_z
K1 K 0.432 0.432 0.864
Al1 Al 0.095 0.095 0.191
Al2 Al 0.240 0.740 0.480
Pt1 Pt 0.732 0.232 0.465
```



[10]
Computed, not measured: a PBEsol-optimized structure of CdPb2Br at the meta-GGA SCAN level of DFT.

Computed properties:
- ρ: 9.05 g cm⁻³
- Total energy: -50.53 eV per atom
- ΔE_f (raw): -0.167 eV/atom

Structure (CIF):
```
data_CdPb2Br
_chemical_formula_sum 'Cd1 Pb2 Br1'
_space_group_name_H-M_alt 'P 1'
_space_group_IT_number 1
_cell_length_a 3.444
_cell_length_b 5.233
_cell_length_c 6.928
_cell_angle_alpha 112.19
_cell_angle_beta 104.39
_cell_angle_gamma 90.00
loop_
_space_group_symop_operation_xyz
'x,y,z'
loop_
_atom_site_label
_atom_site_type_symbol
_atom_site_fract_x
_atom_site_fract_y
_atom_site_fract_z
Pb1 Pb 0.995 0.995 0.989
Pb2 Pb 0.726 0.226 0.452
Br1 Br 0.509 0.509 0.018
Cd1 Cd 0.270 0.770 0.541
```



[11]
Computed, not measured: a PBEsol-optimized structure of NaAlTcC2 at the meta-GGA SCAN level of DFT.

Computed properties:
- ρ: 3.76 g cm⁻³
- Total energy: -10.29 eV per atom
- Formation enthalpy at 0 K: 3.159 eV per atom

Structure (CIF):
```
data_NaAlTcC2
_chemical_formula_sum 'Na1 Al1 Tc1 C2'
_space_group_name_H-M_alt 'P 1'
_space_group_IT_number 1
_cell_length_a 4.029
_cell_length_b 4.029
_cell_length_c 4.681
_cell_angle_alpha 90.00
_cell_angle_beta 90.00
_cell_angle_gamma 90.00
loop_
_space_group_symop_operation_xyz
'x,y,z'
loop_
_atom_site_label
_atom_site_type_symbol
_atom_site_fract_x
_atom_site_fract_y
_atom_site_fract_z
Na1 Na 0.000 0.000 0.000
C1 C 0.000 0.500 0.000
C2 C 0.500 0.000 0.000
Tc1 Tc 0.000 0.000 0.500
Al1 Al 0.500 0.500 0.500
```



[12]
Computed, not measured: a PBEsol-optimized structure of CsAlAgF6 at the meta-GGA SCAN level of DFT.

Computed properties:
- ρ: 4.64 g cm⁻³
- Total energy: -13.75 eV per atom
- ΔE_f (raw): -2.841 eV/atom

Structure (CIF):
```
data_CsAlAgF6
_chemical_formula_sum 'Cs4 Al4 Ag4 F24'
_space_group_name_H-M_alt 'P 1'
_space_group_IT_number 1
_cell_length_a 7.231
_cell_length_b 7.356
_cell_length_c 10.269
_cell_angle_alpha 90.00
_cell_angle_beta 90.00
_cell_angle_gamma 90.00
loop_
_space_group_symop_operation_xyz
'x,y,z'
loop_
_atom_site_label
_atom_site_type_symbol
_atom_site_fract_x
_atom_site_fract_y
_atom_site_fract_z
Cs1 Cs 0.250 0.472 0.128
Cs2 Cs 0.750 0.528 0.872
Cs3 Cs 0.750 0.028 0.628
Cs4 Cs 0.250 0.972 0.372
Al1 Al 0.500 0.000 0.000
Al2 Al 0.500 0.500 0.500
Al3 Al 0.000 0.000 0.000
Al4 Al 0.000 0.500 0.500
Ag1 Ag 0.750 0.203 0.254
Ag2 Ag 0.250 0.297 0.754
Ag3 Ag 0.750 0.703 0.246
Ag4 Ag 0.250 0.797 0.746
F1 F 0.750 0.547 0.502
F2 F 0.250 0.453 0.498
F3 F 0.250 0.050 0.668
F4 F 0.537 0.289 0.414
F5 F 0.750 0.047 0.998
F6 F 0.981 0.378 0.653
F7 F 0.963 0.789 0.086
F8 F 0.463 0.711 0.586
F9 F 0.481 0.122 0.153
F10 F 0.750 0.450 0.168
F11 F 0.019 0.122 0.153
F12 F 0.481 0.622 0.347
F13 F 0.537 0.789 0.086
F14 F 0.037 0.711 0.586
F15 F 0.750 0.950 0.332
F16 F 0.037 0.211 0.914
F17 F 0.519 0.378 0.653
F18 F 0.250 0.550 0.832
F19 F 0.250 0.953 0.002
F20 F 0.519 0.878 0.847
F21 F 0.019 0.622 0.347
F22 F 0.463 0.211 0.914
F23 F 0.981 0.878 0.847
F24 F 0.963 0.289 0.414
```



- Among the records above, which one has the lowest ρ?
  NaCa2Ga2



- Which value of total energy does entry 9 give?
  -23.94 eV per atom